Entry from Alexandria: a relaxed structure of Li3Mn2CoO6 (PBE with a Hubbard U).

Lattice parameters (Å, degrees): 2.9900 2.9900 14.5500 92.87 92.87 57.34
Element x y z (fractional)
Li 0.0000 0.0000 0.0000
Li 0.3422 0.3422 0.6597
Li 0.6578 0.6578 0.3403
Mn 0.3264 0.3264 0.1702
Mn 0.6736 0.6736 0.8298
Co 0.0000 0.0000 0.5000
O 0.0322 0.0322 0.7504
O 0.3150 0.3150 0.9092
O 0.3198 0.3198 0.4317
O 0.6802 0.6802 0.5683
O 0.6850 0.6850 0.0908
O 0.9678 0.9678 0.2496

Values from the calculation:
As for the energy above the most stable polymorph in this dataset: 8 meV/atom. As for the calculated density: 4.338 g/cm³.